1.
Material: Nd2PuNi
Method: DFT, PBE
State: optimized geometry

a b c (Å): 3.6304 3.6304 31.2901
angles (deg): 90.00 90.00 120.00
Closest atoms and distances in Å follow each position.
Space group R-3m (No. 166, hexagonal axes)
Symmetry-distinct sites (fractional):
1 Nd 0.0000 0.0000 0.1087 x6  3 Ni 2.77
2 Pu 0.0000 0.0000 0.0000 x3  2 Nd 3.40, 6 Pu 3.63
3 Ni 0.0000 0.0000 0.5000 x3  6 Nd 2.77

Results
offset from the most stable computed form	235.1	meV per atom
total magnetic moment	19.526	Bohr magnetons per cell
E_form	242	meV/atom
total energy	-7.170	eV/atom
V	29.76	Å³/atom
Fermi-level density of states	35.95	states/eV/cell

***

2.
Material: NdPuNi2
Method: DFT, PBE
State: optimized geometry

a b c (Å): 3.4283 3.4283 6.8167
angles (deg): 90.00 90.00 90.00
Closest atoms and distances in Å follow each position.
Space group P4/mmm (No. 123)
Symmetry-distinct sites (fractional):
1 Nd 0.0000 0.0000 0.0000 x1  8 Ni 3.06, 2 Pu 3.41
2 Pu 0.0000 0.0000 0.5000 x1  8 Ni 2.87
3 Ni 0.5000 0.5000 0.2741 x2  4 Pu 2.87, 4 Nd 3.06, 1 Ni 3.08

Results
total magnetic moment	5.523	Bohr magnetons per cell
E_form	-108	meV/atom
total energy	-7.774	eV/atom
V	20.03	Å³/atom
Fermi-level density of states	12.94	states/eV/cell

***

3.
Material: Nd2Pu2Ni15
Method: DFT, PBE
State: optimized geometry

a b c (Å): 8.5144 8.5144 12.6252
angles (deg): 90.00 90.00 120.00
Closest atoms and distances in Å follow each position.
Space group R-3m (No. 166, hexagonal axes)
Symmetry-distinct sites (fractional):
1 Nd 0.0000 0.0000 0.1470 x6  12 Ni 2.93-3.13
2 Pu 0.0000 0.0000 0.4108 x6  1 Pu 2.25
3 Ni 0.0000 0.3140 0.5000 x18  8 Ni 2.50-2.67
4 Ni 0.0000 0.5000 0.0000 x9  8 Ni 2.46-2.50, 2 Pu 2.65
5 Ni 0.0007 0.5004 0.6590 x18  8 Ni 2.46-2.58, 1 Pu 2.69

Results
total magnetic moment	9.317	Bohr magnetons per cell
E_form	-151	meV/atom
total energy	-6.726	eV/atom
V	13.91	Å³/atom
Fermi-level density of states	104.62	states/eV/cell

***

4.
Material: NdPuNi
Method: DFT, PBE
State: optimized geometry

a b c (Å): 4.9727 11.7477 4.9394
angles (deg): 90.00 90.00 90.00
Closest atoms and distances in Å follow each position.
Space group Amm2 (No. 38)
Symmetry-distinct sites (fractional):
1 Nd 0.0000 0.1393 0.0000 x4  4 Ni 2.95-2.98, 1 Nd 3.27
2 Pu 0.5000 0.1318 0.5055 x4  4 Ni 2.89-2.94, 1 Pu 3.10
3 Ni 0.0000 0.0000 0.4964 x2  4 Pu 2.93, 4 Nd 2.95-2.98
4 Ni 0.5000 0.0000 0.0112 x2  4 Pu 2.89-2.94, 4 Nd 2.98

Results
offset from the most stable computed form	0.0	meV per atom
total magnetic moment	24.258	Bohr magnetons per cell
E_form	-9	meV/atom
total energy	-8.303	eV/atom
V	24.05	Å³/atom
Fermi-level density of states	34.09	states/eV/cell

***

5.
Material: NdPuNi2
Method: DFT, PBE
State: optimized geometry

a b c (Å): 6.8548 6.8548 6.8548
angles (deg): 90.00 90.00 90.00
Closest atoms and distances in Å follow each position.
Space group Fm-3m (No. 225)
Symmetry-distinct sites (fractional):
1 Nd 0.0000 0.0000 0.0000 x4  8 Ni 2.97
2 Pu 0.0000 0.0000 0.5000 x4  8 Ni 2.97
3 Ni 0.2500 0.2500 0.2500 x8  4 Nd 2.97, 4 Pu 2.97

Results
total magnetic moment	22.307	Bohr magnetons per cell
E_form	-88	meV/atom
total energy	-7.753	eV/atom
V	20.13	Å³/atom
Fermi-level density of states	54.45	states/eV/cell

***

6.
Material: Nd3PuNi8
Method: DFT, PBE
State: optimized geometry

a b c (Å): 5.1454 5.1454 25.2104
angles (deg): 90.00 90.00 120.00
Closest atoms and distances in Å follow each position.
Space group R3m (No. 160, hexagonal axes)
Symmetry-distinct sites (fractional):
1 Nd 0.0000 0.0000 0.0000 x3  12 Ni 2.96-3.04, 3 Pu 3.13, 1 Nd 3.18
2 Nd 0.0000 0.0000 0.1261 x3  12 Ni 3.01-3.05, 4 Nd 3.18
3 Nd 0.0000 0.0000 0.5047 x3  12 Ni 2.99-3.09, 1 Pu 3.11, 3 Nd 3.18
4 Pu 0.0000 0.0000 0.6281 x3  12 Ni 2.98-3.02, 4 Nd 3.11-3.13
5 Ni 0.0000 0.0000 0.3141 x3  6 Ni 2.54-2.58
6 Ni 0.0000 0.0000 0.8146 x3  6 Ni 2.58-2.59
7 Ni 0.1673 0.3346 0.3975 x9  6 Ni 2.56-2.58
8 Ni 0.1678 0.3356 0.8986 x9  6 Ni 2.54-2.59

Results
total magnetic moment	15.739	Bohr magnetons per cell
E_form	-283	meV/atom
total energy	-6.524	eV/atom
V	16.06	Å³/atom
Fermi-level density of states	68.25	states/eV/cell

***

7.
Material: Nd2PuNi
Method: DFT, PBE
State: optimized geometry

a b c (Å): 3.5228 3.5228 8.6227
angles (deg): 90.00 90.00 90.00
Closest atoms and distances in Å follow each position.
Space group P4/mmm (No. 123)
Symmetry-distinct sites (fractional):
1 Nd 0.0000 0.0000 0.1962 x2  4 Ni 3.01
2 Pu 0.5000 0.5000 0.5000 x1  4 Pu 3.52, 8 Nd 3.61
3 Ni 0.5000 0.5000 0.0000 x1  8 Nd 3.01

Results
offset from the most stable computed form	0.0	meV per atom
total magnetic moment	6.946	Bohr magnetons per cell
E_form	7	meV/atom
total energy	-7.406	eV/atom
V	26.75	Å³/atom
Fermi-level density of states	8.30	states/eV/cell

***

8.
Material: NdPuNiRu
Method: DFT, PBE
State: optimized geometry

a b c (Å): 6.8791 6.8791 6.8791
angles (deg): 90.00 90.00 90.00
Closest atoms and distances in Å follow each position.
Space group F-43m (No. 216)
Symmetry-distinct sites (fractional):
1 Nd 0.0000 0.0000 0.0000 x4  4 Ni 2.98, 4 Ru 2.98
2 Pu 0.0000 0.0000 0.5000 x4  4 Ru 2.98, 4 Ni 2.98
3 Ni 0.2500 0.2500 0.7500 x4  4 Nd 2.98, 4 Pu 2.98
4 Ru 0.2500 0.2500 0.2500 x4  4 Nd 2.98, 4 Pu 2.98

Results
total magnetic moment	17.868	Bohr magnetons per cell
E_form	-81	meV/atom
total energy	-8.621	eV/atom
V	20.35	Å³/atom
Fermi-level density of states	36.37	states/eV/cell